K2ThReN4 | the Alexandria database | GGA-PBE | relaxed; formation energy without anion corrections = -0.5239 eV per atom; volume = 341.2 Å³ per cell; SG = Pmn2_1, No. 31
1.0
7.304 0.000 0.000
0.000 7.741 0.000
0.000 0.000 6.035
K Th Re N
4 2 2 8
Direct
0.244 0.144 0.000
0.256 0.856 0.500
0.744 0.856 0.500
0.756 0.144 0.000
0.000 0.635 0.977
0.500 0.365 0.477
0.000 0.360 0.471
0.500 0.640 0.971
0.000 0.384 0.169
0.000 0.577 0.598
0.213 0.241 0.545
0.287 0.759 0.045
0.500 0.423 0.098
0.500 0.616 0.669
0.713 0.759 0.045
0.787 0.241 0.545

Sm7Cd2Au2 | the Alexandria database | GGA-PBE | relaxed; formation energy = -217 meV per atom; volume = 346.5 Å³ per cell; SG = Cmmm, No. 65
1.0
4.101 -5.655 0.000
4.101 5.655 0.000
0.000 0.000 7.471
Sm Cd Au
7 2 2
Direct
0.000 0.000 0.000
0.000 0.500 0.268
0.000 0.500 0.732
0.500 0.000 0.268
0.500 0.000 0.732
0.500 0.500 0.257
0.500 0.500 0.743
0.170 0.170 0.500
0.830 0.830 0.500
0.294 0.706 0.000
0.706 0.294 0.000

Mn3HOs | the Alexandria database | GGA-PBE | relaxed; energy relative to the lowest polymorph listed for this composition = 0.037 eV/atom; volume = 97.6 Å³ per cell; SG = P2_1, No. 4
1.0
4.508 0.000 0.000
0.000 4.130 0.000
-0.031 0.000 5.240
Mn H Os
6 2 2
Direct
0.070 0.000 0.125
0.082 0.998 0.628
0.406 0.495 0.624
0.594 0.995 0.376
0.918 0.498 0.372
0.930 0.500 0.875
0.241 0.771 0.386
0.759 0.271 0.614
0.415 0.489 0.127
0.585 0.989 0.873

NaRuS2 | the Alexandria database | GGA-PBE | relaxed; formation energy without anion corrections = -0.3589 eV per atom; volume = 86.6 Å³ per cell; SG = R-3m, No. 166
1.0
1.802 1.040 7.696
-1.802 1.040 7.696
0.000 -2.081 7.696
Na Ru S
1 1 2
Direct
0.000 0.000 0.000
0.500 0.500 0.500
0.114 0.114 0.114
0.886 0.886 0.886

Pm2NdSn | the Alexandria database | GGA-PBE | relaxed; formation energy = -346 meV per atom; energy relative to the lowest polymorph listed for this composition = 0.105 eV/atom; volume = 124.6 Å³ per cell; SG = P4/mmm, No. 123
1.0
4.246 0.000 0.000
0.000 4.246 0.000
0.000 0.000 6.909
Pm Nd Sn
2 1 1
Direct
0.000 0.000 0.225
0.000 0.000 0.775
0.500 0.500 0.500
0.500 0.500 0.000

PmHgBr3 | the Alexandria database | GGA-PBE | relaxed; formation energy without anion corrections = -1.4796 eV per atom; energy relative to the lowest polymorph listed for this composition = 0.000 eV/atom; volume = 496.1 Å³ per cell; SG = R-3, No. 148
1.0
3.746 2.163 10.206
-3.746 2.163 10.206
0.000 -4.325 10.206
Pm Hg Br
2 2 6
Direct
0.167 0.167 0.167
0.833 0.833 0.833
0.340 0.340 0.340
0.660 0.660 0.660
0.074 0.818 0.445
0.182 0.555 0.926
0.445 0.074 0.818
0.555 0.926 0.182
0.818 0.445 0.074
0.926 0.182 0.555

BeAgSe2 | the Alexandria database | GGA-PBE | relaxed; formation energy without anion corrections = 0.0274 eV per atom; volume = 102.2 Å³ per cell; SG = Cmmm, No. 65
1.0
1.678 -4.208 0.000
1.678 4.208 0.000
0.000 0.000 7.238
Be Ag Se
1 1 2
Direct
0.000 0.000 0.000
0.000 0.000 0.500
0.500 0.500 0.207
0.500 0.500 0.793

RbGaB2O | the Alexandria database | GGA-PBE | relaxed; formation energy without anion corrections = 2.3586 eV per atom; volume = 126.9 Å³ per cell; SG = P4/mmm, No. 123
1.0
5.345 0.000 0.000
0.000 5.345 0.000
0.000 0.000 4.441
Rb Ga B O
1 1 2 1
Direct
0.000 0.000 0.000
0.500 0.500 0.500
0.000 0.500 0.000
0.500 0.000 0.000
0.000 0.000 0.500

LaSb | the Alexandria database | GGA-PBE | relaxed; formation energy without anion corrections = -1.1782 eV per atom; volume = 139.3 Å³ per cell; SG = P6_3/mmc, No. 194
1.0
4.556 0.000 0.000
-2.278 3.945 0.000
0.000 0.000 7.753
La Sb
2 2
Direct
0.333 0.667 0.250
0.667 0.333 0.750
0.000 0.000 0.000
0.000 0.000 0.500

CaGaSb | the Alexandria database | GGA-PBE | relaxed; formation energy without anion corrections = -0.5498 eV per atom; energy relative to the lowest polymorph listed for this composition = 0.111 eV/atom; volume = 82.5 Å³ per cell; SG = P3m1, No. 156
1.0
4.363 0.000 0.000
-2.182 3.779 0.000
0.000 0.000 5.003
Ca Ga Sb
1 1 1
Direct
0.000 0.000 0.000
0.333 0.667 0.650
0.667 0.333 0.406

Sr5Ga2As6 | the Alexandria database | GGA-PBE | relaxed; formation energy = -944 meV per atom; volume = 726.1 Å³ per cell; SG = Pbam, No. 55
1.0
12.108 0.000 0.000
0.000 13.908 0.000
0.000 0.000 4.312
Sr Ga As
10 4 12
Direct
0.000 0.000 0.000
0.087 0.255 0.000
0.173 0.518 0.000
0.327 0.018 0.000
0.413 0.755 0.000
0.500 0.500 0.000
0.587 0.245 0.000
0.673 0.982 0.000
0.827 0.482 0.000
0.913 0.745 0.000
0.177 0.712 0.500
0.323 0.212 0.500
0.677 0.788 0.500
0.823 0.288 0.500
0.012 0.410 0.500
0.158 0.100 0.500
0.162 0.813 0.000
0.338 0.313 0.000
0.342 0.600 0.500
0.488 0.910 0.500
0.512 0.090 0.500
0.658 0.400 0.500
0.662 0.687 0.000
0.838 0.187 0.000
0.842 0.900 0.500
0.988 0.590 0.500

KScSn3 | the Alexandria database | GGA-PBE | relaxed; formation energy = -40 meV per atom; energy relative to the lowest polymorph listed for this composition = 0.000 eV/atom; volume = 174.6 Å³ per cell; SG = Pm-3m, No. 221
1.0
5.589 0.000 0.000
0.000 5.589 0.000
0.000 0.000 5.589
K Sc Sn
1 1 3
Direct
0.000 0.000 0.000
0.500 0.500 0.500
0.000 0.500 0.500
0.500 0.000 0.500
0.500 0.500 0.000